The following is a DFT calculation (GGA-PBE) of a relaxed structure of NaSbRh2O6. Values from VASP.

E: -60.68 eV/cell

```
&SYSTEM
  ibrav = 0, nat = 10, ntyp = 4
/
ATOMIC_SPECIES
O 16.00 O.upf
Rh 102.91 Rh.upf
Na 22.99 Na.upf
Sb 121.76 Sb.upf
ATOMIC_POSITIONS angstrom
O -2.704 -5.396 -2.125
O -1.958 -5.650 0.855
O -4.450 -5.690 1.673
O -3.618 -7.449 -0.086
O -5.658 -5.368 -1.093
O -3.607 -3.259 -0.025
Rh -0.970 -4.853 2.460
Rh -3.714 -5.350 -0.275
Na -5.693 -7.725 -0.770
Sb -2.070 -2.151 -0.763
CELL_PARAMETERS angstrom
-4.991 -1.834 0.167
-1.409 -4.158 -3.005
-0.919 -4.977 2.608
```